Version one
Compound: LaSmIrPd
Source: the Alexandria database
Functional: PBE-GGA
Structure: relaxed

Results
Volume ... 92 Å³ per cell

Cell: 5.0670 5.0670 5.0670 Å, 60.00 60.00 60.00°
Element x y z (fractional)
La1 0.2500 0.2500 0.2500
Pd1 0.5000 0.5000 0.5000
Sm1 0.7500 0.7500 0.7500
Ir1 0.0000 0.0000 0.0000

Version two
Compound: LaSmIrPd
Source: the Alexandria database
Functional: PBE-GGA
Structure: relaxed

Results
Volume ... 96 Å³ per cell

Cell: 3.8922 4.5522 5.7344 Å, 90.00 109.84 90.00°
Element x y z (fractional)
Sm1 0.8649 0.5000 0.7298
La1 0.1410 0.0000 0.2820
Ir1 0.4096 0.0000 0.8193
Pd1 0.5845 0.5000 0.1690

The most stable of them is version two.

Version one
Compound: LaThIrPd
Source: the Alexandria database
Functional: PBE-GGA
Structure: relaxed

Results
Volume ... 98 Å³ per cell

Cell: 3.9689 4.2387 6.1779 Å, 90.00 108.74 90.00°
Element x y z (fractional)
Pd1 0.5888 0.5000 0.1776
Th1 0.8688 0.5000 0.7376
Ir1 0.4003 0.0000 0.8006
La1 0.1421 0.0000 0.2842

Version two
Compound: LaThIrPd
Source: the Alexandria database
Functional: PBE-GGA
Structure: relaxed

Results
Volume ... 94 Å³ per cell

Cell: 5.1069 5.1069 5.1069 Å, 60.00 60.00 60.00°
Element x y z (fractional)
Pd1 0.5000 0.5000 0.5000
La1 0.2500 0.2500 0.2500
Th1 0.7500 0.7500 0.7500
Ir1 0.0000 0.0000 0.0000

The most stable of them is version one.